VASP calculation (PBE+U) on crystalline Mn2WF8 at its relaxed geometry.

The space group is P-3m1 (No. 164) and the conventional cell measures 6.6791, 6.6791 and 4.1685 Å, with angles of 90.00, 90.00 and 120.00 degrees. Symmetry generates all atoms from Mn at (0.3333, 0.6667, 0.2516), W at (0.0000, 0.0000, 0.0000), F at (0.1505, 0.3010, 0.2460) and F at (0.3333, 0.6667, 0.7499).

For the calculated volume, the calculation gives 14.64 A^3/atom. The total energy is -5.9019 eV per atom.